{
  "formula": "Tc2SbAs",
  "functional": "PBEsol",
  "state": "relaxed",
  "lattice": [[4.435, 0.000, 0.000], [2.217, 3.841, 0.000], [2.217, 1.280, 3.621]],
  "species": ["As", "Tc", "Tc", "Sb"],
  "frac_coords": [[0.500, 0.500, 0.500], [0.750, 0.750, 0.750], [0.250, 0.250, 0.250], [0.000, 0.000, 0.000]],
  "e_form_raw_ev_per_atom": 0.0407,
  "spacegroup": "Fm-3m, No. 225",
  "total_magnetization_mub_per_fu": 0.0,
  "energy_ev_per_atom": -8.01,
  "polymorph_energy_ev_per_fu": 0.21
}